[1]
Material: Pr2SbRh6C
Method: DFT, PBE
State: optimized geometry

- Fermi-level density of states: 5.75 states/eV per cell
- Uncorrected formation energy: -0.1005 eV/atom
- Total energy: -0.2500 Ha/atom

Cell: 4.683 4.683 8.849 Å, 90.00 90.00 90.00°
Positions (direct):
Pr 0.000 0.000 0.239
Pr 0.000 0.000 0.761
Sb 0.500 0.500 0.500
Rh 0.000 0.500 0.000
Rh 0.000 0.500 0.500
Rh 0.500 0.000 0.000
Rh 0.500 0.000 0.500
Rh 0.500 0.500 0.210
Rh 0.500 0.500 0.790
C 0.500 0.500 0.000

***

[2]
Material: Ce5ThGa4
Method: DFT, PBE
State: optimized geometry

- Fermi-level density of states: 16.93 states/eV per cell
- Total energy: -0.1945 Ha/atom

Cell: 3.343 3.343 21.831 Å, 90.00 90.00 90.00°
Positions (direct):
Ce 0.000 0.000 0.000
Ce 0.000 0.000 0.192
Ce 0.000 0.000 0.382
Ce 0.000 0.000 0.618
Ce 0.000 0.000 0.808
Th 0.500 0.500 0.500
Ga 0.500 0.500 0.096
Ga 0.500 0.500 0.288
Ga 0.500 0.500 0.712
Ga 0.500 0.500 0.904

***

[3]
Material: Cs2Na2Cu
Method: DFT, PBE
State: optimized geometry

- Fermi-level density of states: 13.18 states/eV per cell
- Relative energy among the computed polymorphs: 0.76 eV per formula unit
- Total energy: -0.0479 Ha/atom

Cell: 9.370 9.370 7.123 Å, 90.00 90.00 90.00°
Positions (direct):
Cs 0.175 0.325 0.000
Cs 0.325 0.825 0.000
Cs 0.675 0.175 0.000
Cs 0.825 0.675 0.000
Na 0.138 0.638 0.500
Na 0.362 0.138 0.500
Na 0.638 0.862 0.500
Na 0.862 0.362 0.500
Cu 0.000 0.000 0.000
Cu 0.500 0.500 0.000

***

[4]
Material: MnCuSb2I
Method: DFT, PBE
State: optimized geometry

- Fermi-level density of states: 3.48 states/eV per cell
- Uncorrected formation energy: 0.6788 eV/atom
- Relative energy among the computed polymorphs: 0.00 eV per formula unit
- Total energy: -0.1445 Ha/atom

Cell: 4.938 4.938 5.710 Å, 90.00 90.00 90.00°
Positions (direct):
Mn 0.000 0.000 0.000
Cu 0.500 0.500 0.500
Sb 0.000 0.500 0.000
Sb 0.500 0.000 0.000
I 0.000 0.000 0.500

***

[5]
Material: PmBe2AlPt5
Method: DFT, PBE
State: optimized geometry

- Fermi-level density of states: 2.66 states/eV per cell
- Total energy: -0.2157 Ha/atom

Cell: 4.072 4.072 9.284 Å, 90.00 90.00 90.00°
Positions (direct):
Pm 0.000 0.000 0.000
Be 0.500 0.500 0.235
Be 0.500 0.500 0.765
Al 0.000 0.000 0.500
Pt 0.000 0.500 0.334
Pt 0.000 0.500 0.666
Pt 0.500 0.000 0.334
Pt 0.500 0.000 0.666
Pt 0.500 0.500 0.000

***

[6]
Material: Sr4Cu2Au5
Method: DFT, PBE
State: optimized geometry

- Fermi-level density of states: 3.45 states/eV per cell
- Total energy: -0.1255 Ha/atom

Cell: 7.493 4.378 8.660 Å, 90.00 90.93 90.00°
Positions (direct):
Sr 0.225 0.000 0.132
Sr 0.259 0.000 0.620
Sr 0.741 0.000 0.380
Sr 0.775 0.000 0.868
Cu 0.072 0.500 0.377
Cu 0.928 0.500 0.623
Au 0.129 0.500 0.870
Au 0.417 0.500 0.349
Au 0.500 0.500 0.000
Au 0.583 0.500 0.651
Au 0.871 0.500 0.130